1.
# NaCaAc2Tl4

NaCaAc2Tl4 after structural relaxation (PBE-GGA, Alexandria).

For the formation energy, the calculation gives -2.799 eV/f.u. For the spin magnetization, the calculation gives 0.0 μB/cell.

The structure belongs to space group R-3m (No. 166, hexagonal axes); the cell edges are 5.6757, 5.6757 and 27.7760 Å and the angles 90.00°, 90.00° and 120.00°. The distinct sites, in fractional coordinates, are Na at (0.0000, 0.0000, 0.0000), Ca at (0.0000, 0.0000, 0.5000), Ac at (0.0000, 0.0000, 0.2518), Tl at (0.0000, 0.0000, 0.1242) and Tl at (0.0000, 0.0000, 0.3751).

2.
# MgMn2Cu2

MgMn2Cu2 after structural relaxation (PBE-GGA, Alexandria).

For the formation energy, the calculation gives 1.786 eV/f.u. For the spin magnetization, the calculation gives 0.0 μB/cell.

The structure belongs to space group I4/mmm (No. 139); the cell edges are 3.220, 3.220 and 13.009 Å and the angles 90.00°, 90.00° and 90.00°. The distinct sites, in fractional coordinates, are Mg at (0.000, 0.000, 0.000), Mn at (0.000, 0.500, 0.250) and Cu at (0.000, 0.000, 0.401).

3.
# Na2LaErS4

Na2LaErS4 after structural relaxation (PBE-GGA, Alexandria).

For the spin magnetization, the calculation gives 0.0 μB/cell. The formation energy without anion corrections comes out at -1842.0 meV/atom.

The structure belongs to space group P2/m (No. 10); the cell edges are 7.075, 4.089 and 7.094 Å and the angles 90.00°, 109.50° and 90.00°. The distinct sites, in fractional coordinates, are Na at (0.000, 0.000, 0.000), Na at (0.000, 0.500, 0.500), La at (0.500, 0.000, 0.500), Er at (0.500, 0.500, 0.000), S at (0.268, 0.500, 0.242) and S at (0.273, 0.000, 0.770).

4.
# Sc3PbCl

Sc3PbCl after structural relaxation (PBE-GGA, Alexandria).

The offset from the most stable computed form comes out at 0.000 eV per atom. For the spin magnetization, the calculation gives 0.0 μB/cell. The formation energy without anion corrections comes out at -458.4 meV/atom.

The structure belongs to space group Pm-3m (No. 221); the cell edges are 4.825, 4.825 and 4.825 Å and the angles 90.00°, 90.00° and 90.00°. The distinct sites, in fractional coordinates, are Sc at (0.000, 0.000, 0.500), Pb at (0.500, 0.500, 0.500) and Cl at (0.000, 0.000, 0.000).

- Number 2 is which compound?
  MgMn2Cu2

What did the third record say?
# Na2LaErS4

Na2LaErS4 after structural relaxation (PBE-GGA, Alexandria).

For the spin magnetization, the calculation gives 0.0 μB/cell. The formation energy without anion corrections comes out at -1842.0 meV/atom.

The structure belongs to space group P2/m (No. 10); the cell edges are 7.075, 4.089 and 7.094 Å and the angles 90.00°, 109.50° and 90.00°. The distinct sites, in fractional coordinates, are Na at (0.000, 0.000, 0.000), Na at (0.000, 0.500, 0.500), La at (0.500, 0.000, 0.500), Er at (0.500, 0.500, 0.000), S at (0.268, 0.500, 0.242) and S at (0.273, 0.000, 0.770).

Repeat the third record exactly.
# Na2LaErS4

Na2LaErS4 after structural relaxation (PBE-GGA, Alexandria).

For the spin magnetization, the calculation gives 0.0 μB/cell. The formation energy without anion corrections comes out at -1842.0 meV/atom.

The structure belongs to space group P2/m (No. 10); the cell edges are 7.075, 4.089 and 7.094 Å and the angles 90.00°, 109.50° and 90.00°. The distinct sites, in fractional coordinates, are Na at (0.000, 0.000, 0.000), Na at (0.000, 0.500, 0.500), La at (0.500, 0.000, 0.500), Er at (0.500, 0.500, 0.000), S at (0.268, 0.500, 0.242) and S at (0.273, 0.000, 0.770).